(1)
# meta-GGA SCAN Hf5Ga3, single point on PBEsol structure
data_Hf5Ga3
_symmetry_space_group_name_H-M 'P 63/m c m'
_symmetry_Int_Tables_number 193
_symmetry_space_group_name_Hall '-P 6c 2'
_cell_length_a 7.9050
_cell_length_b 7.9050
_cell_length_c 5.6102
_cell_angle_alpha 90.00
_cell_angle_beta 90.00
_cell_angle_gamma 120.00
loop_
_atom_site_label
_atom_site_fract_x
_atom_site_fract_y
_atom_site_fract_z
Hf1 0.0000 0.2411 0.2500
Hf2 0.3333 0.6667 0.0000
Ga1 0.0000 0.3935 0.7500
# formation energy	-513.6	meV/atom


(2)
# meta-GGA SCAN B2OsWO, single point on PBEsol structure
data_B2OsWO
_symmetry_space_group_name_H-M 'P 4/m m m'
_symmetry_Int_Tables_number 123
_symmetry_space_group_name_Hall '-P 4 2'
_cell_length_a 4.197
_cell_length_b 4.197
_cell_length_c 3.642
_cell_angle_alpha 90.00
_cell_angle_beta 90.00
_cell_angle_gamma 90.00
loop_
_atom_site_label
_atom_site_fract_x
_atom_site_fract_y
_atom_site_fract_z
B1 0.000 0.500 0.000
Os1 0.000 0.000 0.500
W1 0.500 0.500 0.000
O1 0.500 0.500 0.500
# E	-31.214	eV per atom